*one*
Entry from the Alexandria database: crystalline Mg6CoBO8 at its relaxed geometry (PBE with a Hubbard U).

Properties
* crystal system: tetragonal
* size of the total moment: 2.0 Bohr magnetons per cell

Lattice parameters (Å, degrees): 4.249 4.249 8.392 90.00 90.00 90.00
Fractional coordinates of all 16 atoms:
Mg 0.000 0.000 0.000
Mg 0.000 0.000 0.500
Mg 0.000 0.500 0.241
Mg 0.000 0.500 0.759
Mg 0.500 0.000 0.241
Mg 0.500 0.000 0.759
Co 0.500 0.500 0.500
B 0.500 0.500 0.000
O 0.000 0.000 0.251
O 0.000 0.000 0.749
O 0.000 0.500 0.000
O 0.000 0.500 0.500
O 0.500 0.000 0.000
O 0.500 0.000 0.500
O 0.500 0.500 0.169
O 0.500 0.500 0.831

---

*two*
Entry from the Alexandria database: crystalline Mg6CoBO8 at its relaxed geometry (PBE with a Hubbard U).

Properties
* crystal system: tetragonal
* size of the total moment: 2.4 Bohr magnetons per cell

Lattice parameters (Å, degrees): 4.271 4.271 8.515 90.00 90.00 90.00
Fractional coordinates of all 16 atoms:
Mg 0.000 0.000 0.000
Mg 0.000 0.500 0.270
Mg 0.000 0.500 0.730
Mg 0.500 0.000 0.270
Mg 0.500 0.000 0.730
Mg 0.500 0.500 0.000
Co 0.000 0.000 0.500
B 0.500 0.500 0.500
O 0.000 0.000 0.239
O 0.000 0.000 0.761
O 0.000 0.500 0.000
O 0.000 0.500 0.500
O 0.500 0.000 0.000
O 0.500 0.000 0.500
O 0.500 0.500 0.328
O 0.500 0.500 0.672

---

The structure with the least stability is *two*.